[1]
A plane-wave DFT calculation with PBE was carried out for an optimized crystal structure of Nd6Ho3Tm2Sc.

The space group is C2/m (No. 12) and the conventional cell measures 6.219, 10.767 and 11.699 Å, with angles of 90.00, 100.19 and 90.00 degrees. The asymmetric unit holds Nd at (0.248, 0.165, 0.247), Nd at (0.249, 0.000, 0.753), Ho at (0.000, 0.167, 0.500), Ho at (0.000, 0.500, 0.500), Tm at (0.000, 0.333, 0.000) and Sc at (0.000, 0.000, 0.000).

The formation energy comes out at 0.025 eV per atom. As for the raw total energy: -4.78 eV per atom.

[2]
A plane-wave DFT calculation with PBE was carried out for an optimized crystal structure of ZrMnAl2.

The space group is Cmmm (No. 65) and the conventional cell measures 5.681, 8.489 and 2.853 Å, with angles of 90.00, 90.00 and 90.00 degrees. The asymmetric unit holds Zr at (0.000, 0.000, 0.000), Mn at (0.000, 0.500, 0.000) and Al at (0.250, 0.250, 0.500).

The formation energy comes out at -0.160 eV per atom. As for the raw total energy: -6.46 eV per atom.

[3]
A plane-wave DFT calculation with PBE was carried out for an optimized crystal structure of Ca2Tl2Bi3.

The space group is P-1 (No. 2) and the conventional cell measures 5.191, 5.296 and 9.768 Å, with angles of 78.64, 78.97 and 68.25 degrees. The asymmetric unit holds Ca at (0.118, 0.112, 0.136), Tl at (0.347, 0.333, 0.394), Bi at (0.274, 0.286, 0.755) and Bi at (0.500, 0.500, 0.000).

The formation energy comes out at -0.386 eV per atom. As for the raw total energy: -3.30 eV per atom.

[4]
A plane-wave DFT calculation with PBE was carried out for an optimized crystal structure of PuHfCu.

The space group is I4mm (No. 107) and the conventional cell measures 3.177, 3.177 and 12.131 Å, with angles of 90.00, 90.00 and 90.00 degrees. The asymmetric unit holds Pu at (0.000, 0.000, 0.000), Hf at (0.000, 0.000, 0.307) and Cu at (0.000, 0.000, 0.674).

The formation energy comes out at 0.066 eV per atom. As for the raw total energy: -9.39 eV per atom.

[5]
A plane-wave DFT calculation with PBE was carried out for an optimized crystal structure of Re6OsRu2.

The space group is C2/c (No. 15) and the conventional cell measures 10.179, 9.146 and 6.999 Å, with angles of 90.00, 124.02 and 90.00 degrees. The asymmetric unit holds Re at (0.029, 0.126, 0.450), Re at (0.097, 0.418, 0.182), Re at (0.225, 0.337, 0.644), Os at (0.000, 0.324, 0.750) and Ru at (0.197, 0.102, 0.937).

The formation energy comes out at 0.139 eV per atom. As for the raw total energy: -11.47 eV per atom.

[6]
A plane-wave DFT calculation with PBE was carried out for an optimized crystal structure of BaErTaN3.

The space group is C2/m (No. 12) and the conventional cell measures 13.560, 4.039 and 7.723 Å, with angles of 90.00, 105.07 and 90.00 degrees. The asymmetric unit holds Ba at (0.148, 0.000, 0.078), Er at (0.158, 0.000, 0.576), Ta at (0.003, 0.500, 0.309), N at (0.007, 0.000, 0.324), N at (0.149, 0.500, 0.787) and N at (0.164, 0.500, 0.355).

Its uncorrected formation energy is -1040 meV per atom. As for the raw total energy: -8.26 eV per atom.

[7]
A plane-wave DFT calculation with PBE was carried out for an optimized crystal structure of ScBeZn.

The space group is F-43m (No. 216) and the conventional cell measures 5.859, 5.859 and 5.859 Å, with angles of 90.00, 90.00 and 90.00 degrees. The asymmetric unit holds Sc at (0.000, 0.000, 0.000), Be at (0.250, 0.250, 0.250) and Zn at (0.000, 0.000, 0.500).

The formation energy comes out at 0.049 eV per atom. As for the raw total energy: -3.73 eV per atom.

[8]
A plane-wave DFT calculation with PBE was carried out for an optimized crystal structure of LiDy2Mg4.

The space group is Cmmm (No. 65) and the conventional cell measures 3.419, 29.899 and 3.419 Å, with angles of 90.00, 90.00 and 90.00 degrees. The asymmetric unit holds Li at (0.000, 0.000, 0.000), Dy at (0.000, 0.300, 0.500), Mg at (0.000, 0.122, 0.000) and Mg at (0.000, 0.443, 0.500).

The formation energy comes out at 0.034 eV per atom. As for the raw total energy: -2.47 eV per atom.

[9]
A plane-wave DFT calculation with PBE was carried out for an optimized crystal structure of NdYCl3.

The space group is C2/m (No. 12) and the conventional cell measures 15.934, 3.913 and 10.701 Å, with angles of 90.00, 119.43 and 90.00 degrees. The asymmetric unit holds Nd at (0.140, 0.000, 0.292), Y at (0.086, 0.500, 0.953), Cl at (0.049, 0.000, 0.751), Cl at (0.157, 0.500, 0.507) and Cl at (0.224, 0.000, 0.113).

Its uncorrected formation energy is -1847 meV per atom. As for the raw total energy: -5.20 eV per atom.

[10]
A plane-wave DFT calculation with PBE was carried out for an optimized crystal structure of AsW3I.

The space group is Pm-3m (No. 221) and the conventional cell measures 4.885, 4.885 and 4.885 Å, with angles of 90.00, 90.00 and 90.00 degrees. The asymmetric unit holds As at (0.000, 0.000, 0.000), W at (0.000, 0.500, 0.500) and I at (0.500, 0.500, 0.500).

Its uncorrected formation energy is 2875 meV per atom. As for the raw total energy: -6.14 eV per atom.

[11]
A plane-wave DFT calculation with PBE was carried out for an optimized crystal structure of Sc3MnCo.

The space group is Pm-3m (No. 221) and the conventional cell measures 4.680, 4.680 and 4.680 Å, with angles of 90.00, 90.00 and 90.00 degrees. The asymmetric unit holds Sc at (0.000, 0.000, 0.500), Mn at (0.000, 0.000, 0.000) and Co at (0.500, 0.500, 0.500).

The formation energy comes out at 0.571 eV per atom. As for the raw total energy: -6.48 eV per atom.

[12]
A plane-wave DFT calculation with PBE was carried out for an optimized crystal structure of Pr4HoAu5.

The space group is P4/mmm (No. 123) and the conventional cell measures 3.679, 3.679 and 18.879 Å, with angles of 90.00, 90.00 and 90.00 degrees. The asymmetric unit holds Pr at (0.000, 0.000, 0.101), Pr at (0.000, 0.000, 0.305), Ho at (0.000, 0.000, 0.500), Au at (0.500, 0.500, 0.000), Au at (0.500, 0.500, 0.203) and Au at (0.500, 0.500, 0.412).

The formation energy comes out at -0.770 eV per atom. As for the raw total energy: -4.78 eV per atom.

[13]
A plane-wave DFT calculation with PBE was carried out for an optimized crystal structure of Tm2TiPbO6.

The space group is P4mm (No. 99) and the conventional cell measures 5.336, 5.336 and 5.639 Å, with angles of 90.00, 90.00 and 90.00 degrees. The asymmetric unit holds Tm at (0.000, 0.500, 0.000), Ti at (0.000, 0.000, 0.659), Pb at (0.500, 0.500, 0.557), O at (0.000, 0.000, 0.337), O at (0.233, 0.233, 0.802) and O at (0.500, 0.500, 0.152).

Its uncorrected formation energy is -2637 meV per atom. As for the raw total energy: -7.67 eV per atom.

[14]
A plane-wave DFT calculation with PBE was carried out for an optimized crystal structure of MgTi3N.

The space group is Pm-3m (No. 221) and the conventional cell measures 4.710, 4.710 and 4.710 Å, with angles of 90.00, 90.00 and 90.00 degrees. The asymmetric unit holds Mg at (0.000, 0.000, 0.000), Ti at (0.000, 0.000, 0.500) and N at (0.500, 0.500, 0.500).

Its uncorrected formation energy is 2223 meV per atom. As for the raw total energy: -4.50 eV per atom.

[15]
A plane-wave DFT calculation with PBE was carried out for an optimized crystal structure of ZrFe2CuBi.

The space group is P4/mmm (No. 123) and the conventional cell measures 4.498, 4.498 and 4.917 Å, with angles of 90.00, 90.00 and 90.00 degrees. The asymmetric unit holds Zr at (0.000, 0.000, 0.000), Fe at (0.000, 0.500, 0.500), Cu at (0.000, 0.000, 0.500) and Bi at (0.500, 0.500, 0.000).

The formation energy comes out at 0.624 eV per atom. As for the raw total energy: -6.07 eV per atom.

[16]
A plane-wave DFT calculation with PBE was carried out for an optimized crystal structure of HfTaRh2.

The space group is I-42d (No. 122) and the conventional cell measures 7.108, 7.108 and 5.732 Å, with angles of 90.00, 90.00 and 90.00 degrees. The asymmetric unit holds Hf at (0.000, 0.000, 0.000), Ta at (0.000, 0.000, 0.500) and Rh at (0.234, 0.750, 0.625).

The formation energy comes out at -0.167 eV per atom. As for the raw total energy: -9.29 eV per atom.

[17]
A plane-wave DFT calculation with PBE was carried out for an optimized crystal structure of CaLaP.

The space group is P3m1 (No. 156) and the conventional cell measures 4.1498, 4.1498 and 6.8645 Å, with angles of 90.00, 90.00 and 120.00 degrees. The asymmetric unit holds Ca at (0.0000, 0.0000, 0.0000), La at (0.6667, 0.3333, 0.5285) and P at (0.3333, 0.6667, 0.7589).

The formation energy comes out at -0.887 eV per atom. As for the raw total energy: -5.00 eV per atom.

[18]
A plane-wave DFT calculation with PBE was carried out for an optimized crystal structure of BaCa2YOs.

The space group is P4/mmm (No. 123) and the conventional cell measures 5.774, 5.774 and 5.442 Å, with angles of 90.00, 90.00 and 90.00 degrees. The asymmetric unit holds Ba at (0.000, 0.000, 0.000), Ca at (0.000, 0.500, 0.500), Y at (0.500, 0.500, 0.000) and Os at (0.500, 0.500, 0.500).

The formation energy comes out at 0.139 eV per atom. As for the raw total energy: -4.58 eV per atom.

[19]
A plane-wave DFT calculation with PBE was carried out for an optimized crystal structure of NaAcI2.

The space group is R3m (No. 160, hexagonal axes) and the conventional cell measures 4.2229, 4.2229 and 28.0691 Å, with angles of 90.00, 90.00 and 120.00 degrees. The asymmetric unit holds Na at (0.0000, 0.0000, 0.0000), Ac at (0.0000, 0.0000, 0.1668), I at (0.0000, 0.0000, 0.4079) and I at (0.0000, 0.0000, 0.5926).

Its uncorrected formation energy is -1044 meV per atom. As for the raw total energy: -3.18 eV per atom.

[20]
A plane-wave DFT calculation with PBE was carried out for an optimized crystal structure of TlInW2.

The space group is F-43m (No. 216) and the conventional cell measures 6.730, 6.730 and 6.730 Å, with angles of 90.00, 90.00 and 90.00 degrees. The asymmetric unit holds Tl at (0.000, 0.000, 0.000), In at (0.250, 0.250, 0.750), W at (0.000, 0.000, 0.500) and W at (0.250, 0.250, 0.250).

The formation energy comes out at 1.055 eV per atom. As for the raw total energy: -6.70 eV per atom.

Record order is preserved below.
Magnetic moment: 0.00, 6.03, 0.00, 10.38, 0.00, 0.00, 0.01, 1.29, 0.00, 0.00, 0.54, 0.00, 0.00, 2.38, 5.70, 0.00, 0.35, 0.00, 0.00, 0.00 Bohr magnetons per cell